Entry 1:
ScCdAg2 (PBE, optimized geometry); uncorrected energy = -3.4046 eV per atom; SG = F-43m; total magnetic moment = 0.0 Bohr magnetons per cell
1.0
4.791 0.000 0.000
2.396 4.149 0.000
2.396 1.383 3.912
Sc Ag Cd
1 2 1
Direct
0.750 0.750 0.750
0.000 0.000 0.000
0.250 0.250 0.250
0.500 0.500 0.500

Entry 2:
Ca4LaCu (PBE, optimized geometry); uncorrected energy = -2.3148 eV per atom; SG = F-43m; total magnetic moment = 0.5 Bohr magnetons per cell
1.0
-0.746 -6.618 -1.766
-5.142 -3.722 2.680
-5.289 -1.931 -3.971
Ca La Cu
4 1 1
Direct
0.876 0.375 0.375
0.375 0.375 0.876
0.375 0.876 0.375
0.375 0.375 0.375
0.000 0.000 0.000
0.750 0.750 0.750

Entry 3:
PmNbPt2 (PBE, optimized geometry); uncorrected energy = -7.3904 eV per atom; SG = P4/mmm; total magnetic moment = 0.0 Bohr magnetons per cell
1.0
3.334 0.000 0.000
0.000 3.334 0.000
0.000 0.000 7.202
Nb Pt Pm
1 2 1
Direct
0.500 0.500 0.000
0.000 0.000 0.797
0.000 0.000 0.203
0.500 0.500 0.500

Entry 4:
PrHoCoPt (PBE, optimized geometry); uncorrected energy = -6.1599 eV per atom; SG = F-43m; total magnetic moment = 0.4 Bohr magnetons per cell
1.0
-4.739 -1.031 0.970
-1.682 -4.622 -0.519
-1.183 -2.664 3.995
Pr Co Ho Pt
1 1 1 1
Direct
0.500 0.500 0.500
0.250 0.250 0.250
0.000 0.000 0.000
0.750 0.750 0.750

Entry 5:
HoAl4PdPt2 (PBE, optimized geometry); uncorrected energy = -5.4757 eV per atom; SG = R-3m; total magnetic moment = 0.0 Bohr magnetons per cell
1.0
4.277 0.000 0.000
2.139 3.704 0.000
2.139 1.235 8.673
Ho Al Pd Pt
1 4 1 2
Direct
0.000 0.000 0.000
0.401 0.401 0.796
0.868 0.868 0.397
0.132 0.132 0.603
0.599 0.599 0.204
0.500 0.500 0.500
0.758 0.758 0.725
0.242 0.242 0.275

Entry 6:
BaTcSCl2 (PBE, optimized geometry); uncorrected energy = -5.0419 eV per atom; SG = P4/mmm; total magnetic moment = 1.0 Bohr magnetons per cell; raw formation energy = -1.0201 eV/atom; excess energy over the best structure of this formula in the dataset = 0.00 eV per formula unit
1.0
-2.045 2.932 3.553
-4.549 -0.674 -2.062
-0.667 -3.720 2.687
S Cl Ba Tc
1 2 1 1
Direct
0.000 0.000 0.500
0.000 0.500 0.000
0.500 0.000 0.000
0.500 0.500 0.500
0.000 0.000 0.000

Entry 7:
La3CdRu (PBE, optimized geometry); uncorrected energy = -5.2936 eV per atom; SG = Fmmm; total magnetic moment = 0.0 Bohr magnetons per cell; excess energy over the best structure of this formula in the dataset = 0.00 eV per formula unit
1.0
6.100 0.030 -1.235
-2.861 5.388 -1.235
-0.091 -0.152 8.849
La Cd Ru
6 2 2
Direct
0.300 0.800 0.100
0.700 0.200 0.900
0.085 0.193 0.278
0.915 0.807 0.722
0.693 0.585 0.278
0.307 0.415 0.722
0.707 0.207 0.500
0.293 0.793 0.500
0.250 0.250 0.000
0.750 0.750 0.000

Entry 8:
Pu2Al3Cu (PBE, optimized geometry); uncorrected energy = -7.6314 eV per atom; SG = P6_3/mmc; total magnetic moment = 22.2 Bohr magnetons per cell
1.0
-5.197 0.418 -1.972
1.830 -4.860 2.027
-2.738 2.171 7.678
Pu Al Cu
4 6 2
Direct
0.667 0.333 0.429
0.333 0.667 0.571
0.333 0.667 0.929
0.667 0.333 0.071
0.166 0.332 0.250
0.332 0.166 0.750
0.834 0.668 0.750
0.166 0.834 0.250
0.834 0.166 0.750
0.668 0.834 0.250
0.000 0.000 0.500
0.000 0.000 0.000

Entry 9:
CeEr2Bi3 (PBE, optimized geometry); uncorrected energy = -5.2502 eV per atom; SG = Immm; total magnetic moment = 0.8 Bohr magnetons per cell
1.0
-1.523 2.512 3.403
2.661 -4.022 4.160
5.116 4.380 -3.914
Ce Er Bi
1 2 3
Direct
0.500 0.500 0.500
0.835 0.835 0.170
0.165 0.165 0.830
0.829 0.329 0.157
0.171 0.671 0.843
0.500 0.000 0.500

Entry 10:
SbMo2S (PBE, optimized geometry); uncorrected energy = -7.1189 eV per atom; SG = I-42d; total magnetic moment = 0.0 Bohr magnetons per cell; raw formation energy = 0.3591 eV/atom; excess energy over the best structure of this formula in the dataset = 0.32 eV per formula unit
1.0
4.539 0.000 0.000
0.000 4.539 0.000
2.270 2.270 7.909
Sb Mo S
2 4 2
Direct
0.000 0.000 0.000
0.750 0.250 0.500
0.536 0.125 0.250
0.214 0.625 0.250
0.375 0.464 0.750
0.875 0.786 0.750
0.500 0.500 0.000
0.250 0.750 0.500

Entry 11:
Zr2AgHAu (PBE, optimized geometry); uncorrected energy = -5.6000 eV per atom; SG = P4/mmm; total magnetic moment = 0.0 Bohr magnetons per cell; excess energy over the best structure of this formula in the dataset = 0.00 eV per formula unit
1.0
4.334 0.000 0.000
0.000 4.334 0.000
0.000 0.000 4.329
H Au Zr Ag
1 1 2 1
Direct
0.000 0.000 0.000
0.500 0.500 0.500
0.000 0.500 0.000
0.500 0.000 0.000
0.000 0.000 0.500

Entry 12:
LaY5Al6 (PBE, optimized geometry); uncorrected energy = -5.3800 eV per atom; SG = Immm; total magnetic moment = 0.0 Bohr magnetons per cell
1.0
4.953 0.021 -1.445
-0.994 6.363 -3.313
-0.089 0.505 8.912
Y Al La
5 6 1
Direct
0.661 0.161 0.322
0.331 0.331 0.661
0.000 0.500 0.000
0.669 0.669 0.339
0.339 0.839 0.678
0.829 0.570 0.658
0.829 0.088 0.658
0.500 0.731 0.000
0.500 0.269 0.000
0.171 0.912 0.342
0.171 0.430 0.342
0.000 0.000 0.000